# 1
Material: BaZnMo2
Method: DFT, PBE-GGA
State: relaxed

For the total magnetization, the calculation gives 0.000 μB per atom. The value obtained for the formation energy is 373 kJ/mol of formula units.

The space group is Immm (No. 71) and the conventional cell measures 2.834, 5.297 and 11.085 Å, with angles of 90.00, 90.00 and 90.00 degrees. The inequivalent atoms are Ba at (0.000, 0.000, 0.000), Zn at (0.000, 0.000, 0.500) and Mo at (0.000, 0.500, 0.217).

***

# 2
Material: BaZnMo2
Method: DFT, PBE-GGA
State: relaxed

For the total magnetization, the calculation gives 0.000 μB per atom. The value obtained for the formation energy is 523 kJ/mol of formula units.

The space group is I-42d (No. 122) and the conventional cell measures 8.156, 8.156 and 5.378 Å, with angles of 90.00, 90.00 and 90.00 degrees. The inequivalent atoms are Ba at (0.000, 0.000, 0.000), Zn at (0.000, 0.000, 0.500) and Mo at (0.199, 0.250, 0.625).

***

# 3
Material: BaZnMo2
Method: DFT, PBE-GGA
State: relaxed

For the total magnetization, the calculation gives 0.000 μB per atom. The value obtained for the formation energy is 430 kJ/mol of formula units.

The space group is Pmmm (No. 47) and the conventional cell measures 2.903, 5.297 and 5.305 Å, with angles of 90.00, 90.00 and 90.00 degrees. The inequivalent atoms are Ba at (0.000, 0.000, 0.000), Zn at (0.500, 0.000, 0.500), Mo at (0.000, 0.500, 0.500) and Mo at (0.500, 0.500, 0.000).

***

# 4
Material: BaZnMo2
Method: DFT, PBE-GGA
State: relaxed

For the total magnetization, the calculation gives 0.000 μB per atom. The value obtained for the formation energy is 521 kJ/mol of formula units.

The space group is P4/mmm (No. 123) and the conventional cell measures 4.578, 4.578 and 3.721 Å, with angles of 90.00, 90.00 and 90.00 degrees. The inequivalent atoms are Ba at (0.000, 0.000, 0.000), Zn at (0.500, 0.500, 0.000) and Mo at (0.000, 0.500, 0.500).

***

Number 1: energy -0.1928 Ha/atom. Number 2: energy -0.1786 Ha/atom. Number 3: energy -0.1874 Ha/atom. Number 4: energy -0.1788 Ha/atom.